1.
# OsRhAu2 | Alexandria | PBE | optimized geometry
# Offset from the most stable computed form   361.5 meV/atom
# Total moment   0.00 μB/f.u.
# Mass density   17.9 g/cm³
# Energy of formation   0.576 eV per atom
data_OsRhAu2
_cell_length_a 4.044
_cell_length_b 4.044
_cell_length_c 7.791
_cell_angle_alpha 90.00
_cell_angle_beta 90.00
_cell_angle_gamma 90.00
_space_group_name_H-M_alt 'I 4/m m m'
_space_group_IT_number 139
_space_group_name_Hall '-I 4 2'
loop_
_atom_site_label
_atom_site_type_symbol
_atom_site_fract_x
_atom_site_fract_y
_atom_site_fract_z
Os1 Os 0.000 0.000 0.000
Rh1 Rh 0.000 0.000 0.500
Au1 Au 0.000 0.500 0.250



2.
# Dy2Y2ZnPd4 | Alexandria | PBE | optimized geometry
# Total moment   0.00 μB/f.u.
# Mass density   8.3 g/cm³
# Energy of formation   -0.513 eV per atom
data_Dy2Y2ZnPd4
_cell_length_a 6.862
_cell_length_b 6.862
_cell_length_c 8.486
_cell_angle_alpha 90.00
_cell_angle_beta 90.00
_cell_angle_gamma 90.00
_space_group_name_H-M_alt 'I 4/m m m'
_space_group_IT_number 139
_space_group_name_Hall '-I 4 2'
loop_
_atom_site_label
_atom_site_type_symbol
_atom_site_fract_x
_atom_site_fract_y
_atom_site_fract_z
Dy1 Dy 0.000 0.500 0.250
Y1 Y 0.000 0.000 0.187
Zn1 Zn 0.000 0.000 0.500
Pd1 Pd 0.244 0.244 0.000



3.
# LiMnGeAu | Alexandria | PBE | optimized geometry
# Total moment   3.57 μB/f.u.
# Mass density   8.9 g/cm³
# Energy of formation   -0.209 eV per atom
data_LiMnGeAu
_cell_length_a 6.278
_cell_length_b 6.278
_cell_length_c 6.278
_cell_angle_alpha 90.00
_cell_angle_beta 90.00
_cell_angle_gamma 90.00
_space_group_name_H-M_alt 'F -4 3 m'
_space_group_IT_number 216
_space_group_name_Hall 'F -4 2 3'
loop_
_atom_site_label
_atom_site_type_symbol
_atom_site_fract_x
_atom_site_fract_y
_atom_site_fract_z
Li1 Li 0.000 0.000 0.000
Mn1 Mn 0.000 0.000 0.500
Ge1 Ge 0.250 0.250 0.750
Au1 Au 0.250 0.250 0.250



4.
# PrTm2PuAs4 | Alexandria | PBE | optimized geometry
# Total moment   4.94 μB/f.u.
# Mass density   8.4 g/cm³
# Energy of formation   -1.361 eV per atom
data_PrTm2PuAs4
_cell_length_a 7.163
_cell_length_b 4.152
_cell_length_c 7.180
_cell_angle_alpha 90.00
_cell_angle_beta 109.51
_cell_angle_gamma 90.00
_space_group_name_H-M_alt 'P 1 2/m 1'
_space_group_IT_number 10
loop_
_space_group_symop_operation_xyz
'x,y,z'
'-x,-y,-z'
'-x,y,-z'
'x,-y,z'
loop_
_atom_site_label
_atom_site_type_symbol
_atom_site_fract_x
_atom_site_fract_y
_atom_site_fract_z
Pr1 Pr 0.000 0.000 0.000
Tm1 Tm 0.500 0.000 0.500
Tm2 Tm 0.500 0.500 0.000
Pu1 Pu 0.000 0.500 0.500
As1 As 0.257 0.000 0.746
As2 As 0.261 0.500 0.260



5.
# K4U3HgTe8 | Alexandria | PBE | optimized geometry
# Total moment   7.40 μB/f.u.
# Uncorrected energy   -4.752 eV/atom
# Mass density   5.8 g/cm³
data_K4U3HgTe8
_cell_length_a 9.2026
_cell_length_b 9.2026
_cell_length_c 24.2951
_cell_angle_alpha 90.00
_cell_angle_beta 90.00
_cell_angle_gamma 120.00
_space_group_name_H-M_alt 'R -3 m'
_space_group_IT_number 166
_space_group_name_Hall '-R 3 2"'
loop_
_atom_site_label
_atom_site_type_symbol
_atom_site_fract_x
_atom_site_fract_y
_atom_site_fract_z
K1 K 0.0000 0.0000 0.0000
K2 K 0.0000 0.5000 0.0000
U1 U 0.0000 0.5000 0.5000
Hg1 Hg 0.0000 0.0000 0.5000
Te1 Te 0.0000 0.0000 0.2368
Te2 Te 0.0121 0.5060 0.7651



6.
# DyTmPuAl | Alexandria | PBE | optimized geometry
# Total moment   6.31 μB/f.u.
# Mass density   9.6 g/cm³
# Energy of formation   0.010 eV per atom
data_DyTmPuAl
_cell_length_a 7.458
_cell_length_b 7.458
_cell_length_c 7.458
_cell_angle_alpha 90.00
_cell_angle_beta 90.00
_cell_angle_gamma 90.00
_space_group_name_H-M_alt 'F -4 3 m'
_space_group_IT_number 216
_space_group_name_Hall 'F -4 2 3'
loop_
_atom_site_label
_atom_site_type_symbol
_atom_site_fract_x
_atom_site_fract_y
_atom_site_fract_z
Dy1 Dy 0.000 0.000 0.000
Tm1 Tm 0.250 0.250 0.750
Pu1 Pu 0.000 0.000 0.500
Al1 Al 0.250 0.250 0.250